No. 1
## LaMgCu2Ge2 (GGA-PBE)

Data for a relaxed LaMgCu2Ge2 crystal.

Results
* symmetry: P-3m1 (164)
* DFT formation energy: -0.4955 eV per atom

a b c (Å): 4.2583 4.2583 7.1746
angles (deg): 90.00 90.00 120.00
Atoms (fractional coordinates):
La  0.0000  0.0000  0.0000
Mg  0.0000  0.0000  0.5000
Cu  0.3333  0.6667  0.6755
Cu  0.6667  0.3333  0.3245
Ge  0.3333  0.6667  0.2727
Ge  0.6667  0.3333  0.7273

***

No. 2
## LaMgCuGe (GGA-PBE)

Data for a relaxed LaMgCuGe crystal.

Results
* symmetry: F-43m (216)
* DFT formation energy: -0.3722 eV per atom

a b c (Å): 4.9629 4.9629 4.9629
angles (deg): 60.00 60.00 60.00
Atoms (fractional coordinates):
La  0.0000  0.0000  0.0000
Mg  0.5000  0.5000  0.5000
Cu  0.7500  0.7500  0.7500
Ge  0.2500  0.2500  0.2500

***

No. 3
## LaMnCuGe2 (GGA-PBE)

Data for a relaxed LaMnCuGe2 crystal.

Results
* symmetry: I-4m2 (119)
* DFT formation energy: -0.4972 eV per atom

a b c (Å): 6.0818 6.0818 6.0818
angles (deg): 139.33 139.33 58.87
Atoms (fractional coordinates):
La  0.0000  0.0000  0.0000
Mn  0.2500  0.7500  0.5000
Cu  0.7500  0.2500  0.5000
Ge  0.3763  0.3763  0.0000
Ge  0.6237  0.6237  0.0000

***

No. 4
## La2CuGeN (GGA-PBE)

Data for a relaxed La2CuGeN crystal.

Results
* symmetry: P2_1/m (11)
* formation energy without anion corrections: -4.3 eV/f.u.
* ΔE to the lowest computed polymorph: 0.00 eV per formula unit

a b c (Å): 6.7554 3.9543 8.4471
angles (deg): 90.00 107.85 90.00
Atoms (fractional coordinates):
La  0.1989  0.2500  0.3839
La  0.2129  0.2500  0.9630
La  0.7871  0.7500  0.0370
La  0.8011  0.7500  0.6161
Cu  0.4594  0.7500  0.2470
Cu  0.5406  0.2500  0.7530
Ge  0.3149  0.7500  0.6953
Ge  0.6851  0.2500  0.3047
N  0.1529  0.7500  0.1650
N  0.8471  0.2500  0.8350

***

No. 5
## La2CuGeN (GGA-PBE)

Data for a relaxed La2CuGeN crystal.

Results
* symmetry: P4/mmm (123)
* formation energy without anion corrections: -3.7 eV/f.u.
* ΔE to the lowest computed polymorph: 0.59 eV per formula unit

a b c (Å): 5.1998 5.1998 3.8885
angles (deg): 90.00 90.00 90.00
Atoms (fractional coordinates):
La  0.0000  0.5000  0.0000
La  0.5000  0.0000  0.0000
Cu  0.0000  0.0000  0.5000
Ge  0.5000  0.5000  0.5000
N  0.0000  0.0000  0.0000

***

No. 6
## NaLa2CuGe (GGA-PBE)

Data for a relaxed NaLa2CuGe crystal.

Results
* symmetry: P4/mmm (123)
* ΔE to the lowest computed polymorph: 2.49 eV per formula unit
* DFT formation energy: 0.6962 eV per atom

a b c (Å): 5.6775 5.6775 4.7301
angles (deg): 90.00 90.00 90.00
Atoms (fractional coordinates):
Na  0.0000  0.0000  0.0000
La  0.0000  0.5000  0.0000
La  0.5000  0.0000  0.0000
Cu  0.5000  0.5000  0.5000
Ge  0.0000  0.0000  0.5000

***

no.,magnetic moment (μB per atom),E_tot (eV/atom),mass density (g/cm³)
1,0.00,-4.49,6.4
2,0.00,-4.18,5.8
3,0.71,-5.98,7.1
4,0.00,-6.24,6.6
5,0.00,-6.13,6.8
6,0.00,-3.28,4.8